Here is a relaxed CuAg crystal from OQMD. Energies are from PBE-GGA.

Cell lengths 6.067, 6.067, 9.175 Å; angles 126.79, 126.79, 26.44 degrees
Element x y z (fractional)
Ag 0.372 0.372 0.105
Ag 0.749 0.749 0.247
Ag 0.120 0.120 0.384
Ag 0.882 0.882 0.637
Cu 0.510 0.510 0.521
Cu 0.242 0.242 0.748
Cu 0.626 0.626 0.871
Cu 0.999 0.999 0.987

Here is a relaxed Cu4Ag5 crystal from OQMD. Energies are from PBE-GGA.

Output
**Relative energy among the computed polymorphs**: 17 meV/atom

Cell lengths 16.882, 16.882, 16.882 Å; angles 170.28, 170.28, 13.76 degrees
Element x y z (fractional)
Ag 0.104 0.104 0.000
Ag 0.233 0.233 0.000
Ag 0.342 0.342 0.000
Ag 0.540 0.540 0.000
Ag 0.669 0.669 0.000
Cu 0.441 0.441 0.000
Cu 0.788 0.788 0.000
Cu 0.898 0.898 0.000
Cu 0.985 0.985 0.000

Across the entries above, VASP energy takes the values -3.17 -3.17 eV per atom, respectively.
Across the entries above, formation enthalpy at 0 K takes the values 0.20 0.49 eV per formula unit, respectively.